{
  "formula": "TbY2BiC",
  "functional": "PBE",
  "state": "relaxed",
  "lattice_angstrom": [[4.965, 0.000, 0.000], [0.000, 4.929, 0.000], [0.000, 0.000, 4.929]],
  "species": ["Tb", "Bi", "Y", "Y", "C"],
  "frac_coords": [[0.500, 0.000, 0.000], [0.500, 0.500, 0.500], [0.000, 0.000, 0.500], [0.000, 0.500, 0.000], [0.000, 0.000, 0.000]],
  "ef_ev_per_atom": -0.550
}

***

{
  "formula": "Tc2BiC",
  "functional": "PBE",
  "state": "relaxed",
  "lattice_angstrom": [[-2.830, -4.804, -1.732], [1.400, -2.635, 5.019], [-4.276, -2.256, 3.405]],
  "species": ["C", "C", "Tc", "Tc", "Tc", "Tc", "Bi", "Bi"],
  "frac_coords": [[0.500, 0.500, 0.000], [0.250, 0.750, 0.500], [0.875, 0.754, 0.750], [0.246, 0.625, 0.250], [0.375, 0.496, 0.750], [0.504, 0.125, 0.250], [0.750, 0.250, 0.500], [0.000, 0.000, 0.000]],
  "ef_ev_per_atom": 0.765,
  "relative_energy_kj_per_mol_atoms": 0.00
}

***

{
  "formula": "TcBiC2",
  "functional": "PBE",
  "state": "relaxed",
  "lattice_angstrom": [[5.107, 0.000, 0.000], [0.000, 5.107, 0.000], [2.554, 2.554, 5.104]],
  "species": ["Tc", "Tc", "Bi", "Bi", "C", "C", "C", "C"],
  "frac_coords": [[0.250, 0.750, 0.500], [0.500, 0.500, 0.000], [0.750, 0.250, 0.500], [0.000, 0.000, 0.000], [0.526, 0.125, 0.250], [0.375, 0.474, 0.750], [0.875, 0.776, 0.750], [0.224, 0.625, 0.250]],
  "ef_ev_per_atom": 1.020
}

***

{
  "formula": "Tc2BiC",
  "functional": "PBE",
  "state": "relaxed",
  "lattice_angstrom": [[-3.185, -2.120, 2.183], [-3.785, -0.980, -2.030], [-0.945, -4.185, -0.999]],
  "species": ["Tc", "Tc", "C", "Bi"],
  "frac_coords": [[0.250, 0.250, 0.250], [0.750, 0.750, 0.750], [0.000, 0.000, 0.000], [0.500, 0.500, 0.500]],
  "ef_ev_per_atom": 1.590,
  "relative_energy_kj_per_mol_atoms": 79.65
}

***

{
  "formula": "TlTcBiC2",
  "functional": "PBE",
  "state": "relaxed",
  "lattice_angstrom": [[-0.779, -3.804, -2.015], [2.510, 1.841, -4.446], [3.800, -1.570, 1.495]],
  "species": ["C", "C", "Tc", "Tl", "Bi"],
  "frac_coords": [[0.000, 0.000, 0.500], [0.500, 0.000, 0.000], [0.000, 0.500, 0.000], [0.000, 0.000, 0.000], [0.500, 0.500, 0.500]],
  "ef_ev_per_atom": 2.865
}

***

{
  "formula": "BiTeC3",
  "functional": "PBE",
  "state": "relaxed",
  "lattice_angstrom": [[-1.483, 0.651, -4.241], [-4.245, -0.876, 1.349], [-0.624, 4.406, 0.895]],
  "species": ["Te", "C", "C", "C", "Bi"],
  "frac_coords": [[0.500, 0.500, 0.500], [0.000, 0.500, 0.000], [0.000, 0.000, 0.500], [0.500, 0.000, 0.000], [0.000, 0.000, 0.000]],
  "e_form_raw_ev_per_fu": 15.80,
  "relative_energy_kj_per_mol_atoms": 53.49
}

***

{
  "formula": "BiTeC3",
  "functional": "PBE",
  "state": "relaxed",
  "lattice_angstrom": [[4.244, 0.000, 0.000], [0.000, 4.244, 0.000], [0.000, 0.000, 4.244]],
  "species": ["Bi", "C", "C", "C", "Te"],
  "frac_coords": [[0.500, 0.500, 0.500], [0.000, 0.000, 0.500], [0.000, 0.500, 0.000], [0.500, 0.000, 0.000], [0.000, 0.000, 0.000]],
  "e_form_raw_ev_per_fu": 13.03,
  "relative_energy_kj_per_mol_atoms": 0.00
}

***

{
  "formula": "Th5Bi3C",
  "functional": "PBE",
  "state": "relaxed",
  "lattice_angstrom": [[-3.649, 2.357, 4.882], [-7.867, -2.627, -4.612], [4.192, -6.006, 6.033]],
  "species": ["Bi", "Bi", "Bi", "Bi", "Bi", "Bi", "Th", "Th", "Th", "Th", "Th", "Th", "Th", "Th", "Th", "Th", "C", "C"],
  "frac_coords": [[0.750, 0.399, 0.000], [0.250, 0.000, 0.601], [0.750, 0.000, 0.399], [0.250, 0.399, 0.399], [0.750, 0.601, 0.601], [0.250, 0.601, 0.000], [0.250, 0.000, 0.220], [0.500, 0.667, 0.333], [0.750, 0.000, 0.780], [0.750, 0.220, 0.220], [0.000, 0.333, 0.667], [0.000, 0.667, 0.333], [0.750, 0.780, 0.000], [0.250, 0.780, 0.780], [0.250, 0.220, 0.000], [0.500, 0.333, 0.667], [0.000, 0.000, 0.000], [0.500, 0.000, 0.000]],
  "ef_ev_per_atom": -0.577
}

***

{
  "formula": "Th2BiC2",
  "functional": "PBE",
  "state": "relaxed",
  "lattice_angstrom": [[4.248, 0.000, -1.247], [-0.410, 6.624, -1.396], [0.016, 0.559, 7.910]],
  "species": ["Th", "Th", "Th", "Th", "Bi", "Bi", "C", "C", "C", "C"],
  "frac_coords": [[0.565, 0.338, 0.693], [0.872, 0.162, 0.307], [0.435, 0.662, 0.307], [0.128, 0.838, 0.693], [0.213, 0.250, 0.000], [0.787, 0.750, 0.000], [0.098, 0.530, 0.452], [0.902, 0.470, 0.548], [0.355, 0.030, 0.452], [0.645, 0.970, 0.548]],
  "ef_ev_per_atom": -0.453
}

***

{
  "formula": "Th5Bi5C2",
  "functional": "PBE",
  "state": "relaxed",
  "lattice_angstrom": [[4.131, 0.000, 0.000], [-2.066, 7.529, 0.487], [0.000, -2.777, 11.048]],
  "species": ["C", "C", "Bi", "Bi", "Bi", "Bi", "Bi", "Th", "Th", "Th", "Th", "Th"],
  "frac_coords": [[0.055, 0.111, 0.809], [0.945, 0.889, 0.191], [0.333, 0.665, 0.892], [0.760, 0.519, 0.392], [0.667, 0.335, 0.108], [0.240, 0.481, 0.608], [0.500, 0.000, 0.500], [0.360, 0.721, 0.205], [0.917, 0.835, 0.672], [0.000, 0.000, 0.000], [0.640, 0.279, 0.795], [0.083, 0.165, 0.328]],
  "ef_ev_per_atom": -0.434
}

***

{
  "formula": "Th5Bi2C2",
  "functional": "PBE",
  "state": "relaxed",
  "lattice_angstrom": [[5.326, 0.000, 0.000], [-2.663, 6.703, -0.220], [0.000, -1.251, 7.132]],
  "species": ["Th", "Th", "Th", "Th", "Th", "C", "C", "Bi", "Bi"],
  "frac_coords": [[0.838, 0.675, 0.430], [0.329, 0.658, 0.106], [0.000, 0.000, 0.000], [0.162, 0.325, 0.570], [0.671, 0.342, 0.894], [0.166, 0.332, 0.892], [0.834, 0.668, 0.108], [0.417, 0.834, 0.697], [0.583, 0.166, 0.303]],
  "ef_ev_per_atom": -0.216
}

***

{
  "formula": "Th2BiC",
  "functional": "PBE",
  "state": "relaxed",
  "lattice_angstrom": [[-2.725, -0.677, 2.556], [3.440, -1.541, 0.459], [2.999, 7.502, 2.400]],
  "species": ["Th", "Th", "Bi", "C"],
  "frac_coords": [[0.551, 0.275, 0.826], [0.449, 0.725, 0.174], [0.000, 0.500, 0.500], [0.000, 0.000, 0.000]],
  "ef_ev_per_atom": -0.469
}

***

Calculated values (μB per formula unit) of magnetization for the records, taken in order: 0.0, 1.0, 0.0, 0.0, 3.0, 1.7, 0.0, 0.0, 0.0, 0.0, 0.0, 0.0.